No. 1
VASP calculation (PBE) on a geometry-optimized CuWCl structure.

```
CuWCl
1.0
0.000 2.853 2.853
2.853 0.000 2.853
2.853 2.853 0.000
Cu W Cl
1 1 1
direct
0.000 0.000 0.000
0.500 0.500 0.500
0.750 0.750 0.750
```

Properties
SG: F-43m (216)

=====

No. 2
VASP calculation (PBE) on a geometry-optimized CuWCl2 structure.

```
CuWCl2
1.0
1.439 -2.790 0.000
1.439 2.790 0.000
0.000 0.000 10.772
Cu W Cl
1 1 2
direct
0.000 0.000 0.000
0.000 0.000 0.500
0.500 0.500 0.318
0.500 0.500 0.682
```

Properties
SG: Cmmm (65)

=====

No. 3
VASP calculation (PBE) on a geometry-optimized Cu2WCl structure.

```
Cu2WCl
1.0
4.724 0.000 0.000
0.000 4.724 0.000
0.000 0.000 2.751
Cu W Cl
2 1 1
direct
0.000 0.500 0.000
0.500 0.000 0.000
0.000 0.000 0.500
0.500 0.500 0.500
```

Properties
SG: P4/mmm (123)

=====

No. 4
VASP calculation (PBE) on a geometry-optimized CuWCl structure.

```
CuWCl
1.0
0.000 2.428 6.758
1.536 0.000 6.758
1.536 2.428 0.000
Cu W Cl
1 1 1
direct
0.000 0.000 0.000
0.650 0.650 0.350
0.298 0.298 0.702
```

Properties
SG: Fmm2 (42)

=====

No. 5
VASP calculation (PBE) on a geometry-optimized CuWCl2 structure.

```
CuWCl2
1.0
-2.893 2.893 4.620
2.893 -2.893 4.620
2.893 2.893 -4.620
Cu W Cl
2 2 4
direct
0.000 0.000 0.000
0.750 0.250 0.500
0.250 0.750 0.500
0.500 0.500 0.000
0.110 0.625 0.985
0.375 0.360 0.485
0.640 0.125 0.015
0.875 0.890 0.515
```

Properties
SG: I-42d (122)

=====

No. 6
VASP calculation (PBE) on a geometry-optimized Cu2WCl structure.

```
Cu2WCl
1.0
-1.979 1.979 3.642
1.979 -1.979 3.642
1.979 1.979 -3.642
Cu W Cl
2 1 1
direct
0.000 0.000 0.000
0.750 0.250 0.500
0.250 0.750 0.500
0.500 0.500 0.000
```

Properties
SG: I-4m2 (119)

=====

No. 7
VASP calculation (PBE) on a geometry-optimized Cu2WCl structure.

```
Cu2WCl
1.0
2.806 0.000 0.000
0.000 2.833 0.000
-0.014 0.000 7.725
Cu W Cl
2 1 1
direct
0.002 0.000 0.241
0.998 0.000 0.759
0.500 0.500 0.000
0.000 0.500 0.500
```

Properties
SG: P2/m (10)

=====

No. 8
VASP calculation (PBE) on a geometry-optimized CuW2Cl structure.

```
CuW2Cl
1.0
4.546 0.000 0.000
0.000 4.546 0.000
0.000 0.000 2.801
Cu W Cl
1 2 1
direct
0.000 0.000 0.000
0.000 0.500 0.500
0.500 0.000 0.500
0.500 0.500 0.000
```

Properties
SG: P4/mmm (123)

=====

No. 9
VASP calculation (PBE) on a geometry-optimized CuWCl2 structure.

```
CuWCl2
1.0
4.581 0.000 0.000
0.000 4.581 0.000
0.000 0.000 2.954
Cu W Cl
1 1 2
direct
0.000 0.000 0.000
0.500 0.500 0.000
0.000 0.500 0.500
0.500 0.000 0.500
```

Properties
SG: P4/mmm (123)

=====

No. 10
VASP calculation (PBE) on a geometry-optimized CuW2Cl structure.

```
CuW2Cl
1.0
-1.885 1.885 9.415
1.885 -1.885 9.415
1.885 1.885 -9.415
Cu W Cl
2 4 2
direct
0.000 0.000 0.000
0.750 0.250 0.500
0.107 0.625 0.982
0.375 0.357 0.482
0.643 0.125 0.018
0.875 0.893 0.518
0.250 0.750 0.500
0.500 0.500 0.000
```

Properties
SG: I-42d (122)

=====

No. 11
VASP calculation (PBE) on a geometry-optimized Cu2WCl structure.

```
Cu2WCl
1.0
2.826 0.000 0.000
0.000 2.826 0.000
0.000 0.000 7.503
Cu W Cl
2 1 1
direct
0.000 0.000 0.249
0.000 0.000 0.751
0.500 0.500 0.000
0.500 0.500 0.500
```

Properties
SG: P4/mmm (123)

=====

No. 12
VASP calculation (PBE) on a geometry-optimized CuWCl2 structure.

```
CuWCl2
1.0
1.509 0.871 11.130
-1.509 0.871 11.130
0.000 -1.742 11.130
Cu W Cl
1 1 2
direct
0.000 0.000 0.000
0.500 0.500 0.500
0.220 0.220 0.220
0.780 0.780 0.780
```

Properties
SG: R-3m (166)

=====

Total energy / eV per atom: -4.8347, -4.7990, -4.8589, -5.7558, -4.2848, -4.8124, -5.4246, -6.9303, -4.2381, -6.9074, -5.3515, -4.9016
Energy relative to the elements, uncorrected / eV/atom: 1.4639, 0.3867, 0.8891, 0.5428, 0.9008, 0.9356, 0.3234, 1.0320, 0.9475, 1.0549, 0.3965, 0.2841
Mass density / g/cm3: 10.11, 6.11, 9.37, 9.32, 6.84, 10.08, 9.36, 13.39, 8.53, 11.58, 9.60, 6.02